MgTl2Se: optimized geometry, PBE.

Cell lengths 4.060, 4.581, 6.377 Å; angles 66.24, 90.00, 90.00 degrees
Sites, in units of the cell vectors:
Tl (0.000, 0.000, 0.000)
Tl (0.500, 0.500, 0.000)
Se (0.000, 0.000, 0.500)
Mg (0.500, 0.500, 0.500)

Values from the calculation:
Formation energy (no corrections)   -0.20 eV/atom
Calculated volume   108.56 Å³/cell
Raw total energy   -2.65 eV/atom
Theoretical density   7.8 g cm⁻³